{
  "formula": "TlSnF2",
  "functional": "GGA-PBE",
  "state": "relaxed",
  "cell": [[2.1488, -4.1518, -0.7811], [-0.6073, -3.5905, 3.0338], [-2.5496, -3.7832, -1.2854]],
  "species": ["F", "F", "Tl", "Sn"],
  "fractional_positions": [[0.7500, 0.7500, 0.7500], [0.2500, 0.2500, 0.2500], [0.5000, 0.5000, 0.5000], [0.0000, 0.0000, 0.0000]],
  "mass_density_g_cm3": 7.96,
  "e_form_raw_ev_per_atom": -1.2942,
  "space_group": "Fm-3m (225)"
}

---

{
  "formula": "KCuAsSe2",
  "functional": "GGA-PBE",
  "state": "relaxed",
  "cell": [[-4.9919, -2.5365, -0.4862], [2.1040, -3.3803, -3.9669], [1.4614, -3.6153, 3.8558]],
  "species": ["Se", "As", "Cu", "Se", "K"],
  "fractional_positions": [[0.0000, 0.5000, 0.0000], [0.0000, 0.0000, 0.5000], [0.5000, 0.5000, 0.5000], [0.5000, 0.0000, 0.0000], [0.0000, 0.0000, 0.0000]],
  "mass_density_g_cm3": 3.22,
  "e_form_raw_ev_per_atom": 1.4499,
  "space_group": "P4/mmm (123)"
}

---

{
  "formula": "CaUP",
  "functional": "GGA-PBE",
  "state": "relaxed",
  "cell": [[4.1482, 0.0000, 0.0000], [-2.0741, 3.5907, 0.0000], [0.0000, 0.0000, 12.0196]],
  "species": ["U", "P", "U", "Ca", "Ca", "P"],
  "fractional_positions": [[0.6108, 0.2216, 0.6007], [0.6115, 0.2230, 0.0000], [0.6108, 0.2216, 0.3993], [0.2780, 0.5561, 0.1313], [0.2780, 0.5561, 0.8687], [0.2774, 0.5547, 0.5000]],
  "mass_density_g_cm3": 5.73,
  "e_form_mev_per_atom": -166,
  "space_group": "Amm2 (38)"
}

---

{
  "formula": "La3Ga2Rh",
  "functional": "GGA-PBE",
  "state": "relaxed",
  "cell": [[4.2364, 0.0000, 0.0000], [0.0000, 12.3359, 0.0000], [0.0000, 0.0000, 12.5421]],
  "species": ["La", "La", "La", "Ga", "La", "Rh", "Ga", "La", "La", "Ga", "Ga", "La", "Ga", "Ga", "La", "Rh", "Ga", "La", "Ga", "Rh", "La", "Rh", "La", "La"],
  "fractional_positions": [[0.2500, 0.1274, 0.5422], [0.7500, 0.9505, 0.1163], [0.2500, 0.4505, 0.3837], [0.7500, 0.0006, 0.6920], [0.2500, 0.7083, 0.2337], [0.7500, 0.8783, 0.8652], [0.2500, 0.6903, 0.4862], [0.2500, 0.3726, 0.0422], [0.7500, 0.2083, 0.2663], [0.2500, 0.8097, 0.9862], [0.2500, 0.5006, 0.8080], [0.2500, 0.0495, 0.8837], [0.2500, 0.9994, 0.3080], [0.7500, 0.4994, 0.1920], [0.2500, 0.7917, 0.7337], [0.2500, 0.3783, 0.6348], [0.7500, 0.1903, 0.0138], [0.7500, 0.5495, 0.6163], [0.7500, 0.3097, 0.5138], [0.7500, 0.6217, 0.3652], [0.7500, 0.8726, 0.4578], [0.2500, 0.1217, 0.1348], [0.7500, 0.6274, 0.9578], [0.7500, 0.2917, 0.7663]],
  "mass_density_g_cm3": 6.68,
  "e_form_mev_per_atom": -647,
  "space_group": "Pnma (62)"
}